Below is a geometry-optimized KTc2As structure, with properties calculated at the PBE-GGA level.

Summary:
- Formation enthalpy at 0 K: 0.859 eV/atom

Cell and atoms, written as CIF:
```
data_KTc2As
_chemical_formula_sum 'K2 Tc4 As2'
_space_group_name_H-M_alt 'I m m 2'
_space_group_IT_number 44
_space_group_name_Hall 'I 2 -2'
_cell_length_a 2.9824
_cell_length_b 5.6724
_cell_length_c 10.1159
_cell_angle_alpha 90.00
_cell_angle_beta 90.00
_cell_angle_gamma 90.00
loop_
_atom_site_label
_atom_site_fract_x
_atom_site_fract_y
_atom_site_fract_z
K1 0.0000 0.0000 0.0000
Tc1 0.0000 0.0000 0.4942
Tc2 0.0000 0.5000 0.8125
As1 0.0000 0.5000 0.2096
```